## Pa4C2Se (PBE)

Data for an optimized crystal structure of Pa4C2Se.

Unit cell a=3.5122 b=3.5122 c=38.5521 alpha=90.00 beta=90.00 gamma=120.00
Last column: nearest neighbours and their distance in Å.
Space group R-3m (No. 166, hexagonal axes)
Symmetry-distinct sites (fractional):
Pa: 0.0000 0.0000 0.1292  3 C 2.43
Pa: 0.0000 0.0000 0.2783  3 C 2.53
C: 0.0000 0.0000 0.4277  6 Pa 2.43-2.53
Se: 0.0000 0.0000 0.0000  6 Pa 2.94

Output
- calculated density (g cm⁻³) = 12.424
- uncorrected formation energy (eV per formula unit) = -4.1
- total magnetization (μB per atom) = 0.000